Li2VSi3O9: optimized geometry, GGA+U.

Summary:
VASP energy	-436.73	eV per cell
magnetic moment	4.00	Bohr magnetons per cell
DOS at the Fermi energy	0.0	states/eV/f.u.
SG	P2_12_12_1

Structure (extended XYZ):
```
60
Lattice="7.7805 0.0000 0.0000 0.0000 9.5912 0.0000 0.0000 0.0000 11.0604" Properties=species:S:1:pos:R:3 pbc="T T T"
Si 4.4662 4.1334 11.0562
Si 3.1013 6.0744 9.2730
Si 3.3143 8.9290 5.5345
Si 0.3125 6.4865 8.2029
Si 6.9916 8.3124 1.7874
Si 4.6792 1.2788 7.3177
Si 4.2028 7.9003 2.8576
Si 0.7889 3.5168 3.7428
Si 7.4680 1.6909 8.3878
Si 0.5759 0.6622 0.0043
Si 7.2046 5.4578 5.5259
Si 3.5777 3.1047 2.6726
V 2.2143 9.0435 8.5317
V 1.6759 0.5477 3.0014
V 6.1046 5.3433 2.5288
V 5.5662 4.2479 8.0590
O 3.4900 5.4137 10.7305
O 3.0224 8.1304 6.9210
O 5.8863 4.5391 0.6804
O 0.8678 1.4608 1.3908
O 7.5211 1.6656 10.0567
O 7.1298 3.2742 8.0514
O 0.7345 1.9130 4.0280
O 0.4002 4.1775 5.2003
O 3.6467 0.7274 8.4518
O 1.8942 9.3347 4.8499
O 5.4824 8.7528 2.2553
O 4.9221 3.7257 3.3339
O 4.1496 7.9256 4.5265
O 4.5409 6.3170 2.5212
O 2.8584 8.5213 2.1963
O 0.6507 8.0698 8.5393
O 7.3803 8.9731 0.3299
O 0.2593 6.4612 6.5340
O 6.1883 0.8384 7.7855
O 7.0460 6.7086 1.5022
O 3.6309 3.1300 1.0038
O 2.2981 3.9572 3.2749
O 6.7486 5.8655 8.8641
O 4.2904 0.6181 5.8601
O 4.7580 3.3348 9.6697
O 5.7844 5.0521 6.2106
O 3.1557 7.6782 9.5582
O 0.2436 8.8638 2.9216
O 6.9127 6.2564 4.1395
O 1.0319 1.0699 7.7265
O 3.2396 1.5214 3.0090
O 1.9961 0.2565 10.3801
O 7.5369 4.0682 2.6086
O 4.1338 5.5230 8.1389
O 4.6247 2.8826 7.0324
O 1.5921 5.6340 8.8051
Li 0.4606 7.8458 4.5354
Li 7.3198 3.0502 0.9948
Li 4.9070 3.5744 5.2506
Li 4.3509 6.5410 6.5250
Li 1.0167 1.2212 5.8099
Li 6.7637 6.0168 10.7808
Li 3.4296 1.7454 10.0656
Li 2.8735 8.3700 0.2797
```